(1)
# LiGaSn3

A PBEsol-optimized structure of LiGaSn3 (SCAN, Alexandria).

The density of states at the Fermi level is 0.501 states/eV per atom. For the polymorph energy (0 for the lowest one), the calculation gives 0.00 eV per formula unit. The energy of formation from the pure elements comes out at 0.320 eV/atom. The total magnetization is 0.0 μB per formula unit. The uncorrected energy comes out at -124.90 eV/f.u.

Cell and atoms, written as POSCAR:
```
LiGaSn3
1.0
-0.370 -4.374 2.316
-0.465 -2.282 -4.383
4.927 -0.544 -0.239
Sn Ga Li
3 1 1
Cartesian
-0.185 -2.187 1.158 Sn
2.464 -0.272 -0.120 Sn
-0.232 -1.141 -2.191 Sn
2.046 -3.600 -1.153 Ga
0.000 0.000 0.000 Li
```

***

(2)
# Sr2LiGa2

A PBEsol-optimized structure of Sr2LiGa2 (SCAN, Alexandria).

The density of states at the Fermi level is 0.728 states/eV per atom. For the polymorph energy (0 for the lowest one), the calculation gives 0.00 eV per formula unit. The energy of formation from the pure elements comes out at -0.294 eV/atom. The total magnetization is 0.0 μB per formula unit. The uncorrected energy comes out at -81.10 eV/f.u.

Cell and atoms, written as POSCAR:
```
Sr2LiGa2
1.0
4.117 0.000 0.000
0.000 8.418 0.000
0.000 0.000 8.418
Ga Sr Li
4 4 2
Cartesian
0.000 5.146 0.937 Ga
0.000 0.937 3.272 Ga
0.000 3.272 7.481 Ga
0.000 7.481 5.146 Ga
2.058 6.895 2.686 Sr
2.058 2.686 1.523 Sr
2.058 1.523 5.732 Sr
2.058 5.732 6.895 Sr
0.000 4.209 4.209 Li
0.000 0.000 0.000 Li
```

***

(3)
# SrLi3Ga

A PBEsol-optimized structure of SrLi3Ga (SCAN, Alexandria).

The density of states at the Fermi level is 0.400 states/eV per atom. For the polymorph energy (0 for the lowest one), the calculation gives 0.00 eV per formula unit. The energy of formation from the pure elements comes out at -0.112 eV/atom. The total magnetization is 0.0 μB per formula unit. The uncorrected energy comes out at -46.35 eV/f.u.

Cell and atoms, written as POSCAR:
```
SrLi3Ga
1.0
4.955 0.000 0.000
0.000 4.955 0.000
0.000 0.000 4.955
Li Sr Ga
3 1 1
Cartesian
0.000 2.477 0.000 Li
0.000 0.000 2.477 Li
2.477 0.000 0.000 Li
2.477 2.477 2.477 Sr
0.000 0.000 0.000 Ga
```

***

(4)
# Sr2LiGa2

A PBEsol-optimized structure of Sr2LiGa2 (SCAN, Alexandria).

The density of states at the Fermi level is 0.693 states/eV per atom. For the polymorph energy (0 for the lowest one), the calculation gives 0.45 eV per formula unit. The energy of formation from the pure elements comes out at -0.203 eV/atom. The total magnetization is 0.0 μB per formula unit. The uncorrected energy comes out at -80.65 eV/f.u.

Cell and atoms, written as POSCAR:
```
Sr2LiGa2
1.0
5.894 -0.001 -0.001
-2.652 5.263 0.001
-2.652 -1.996 4.870
Ga Sr Li
2 2 1
Cartesian
-3.455 2.128 3.172 Ga
-1.850 1.139 1.698 Ga
0.294 -0.181 3.652 Sr
0.294 3.448 1.218 Sr
0.000 0.000 0.000 Li
```

***

(5)
# Sr3LiGa

A PBEsol-optimized structure of Sr3LiGa (SCAN, Alexandria).

The density of states at the Fermi level is 1.288 states/eV per atom. The energy of formation from the pure elements comes out at 0.387 eV/atom. The total magnetization is 0.0 μB per formula unit. The uncorrected energy comes out at -83.63 eV/f.u.

Cell and atoms, written as POSCAR:
```
Sr3LiGa
1.0
-2.538 5.275 1.028
-5.030 -2.732 1.598
1.891 -0.187 5.631
Sr Ga Li
3 1 1
Cartesian
-2.515 -1.366 0.799 Sr
0.946 -0.094 2.815 Sr
-1.269 2.637 0.514 Sr
-2.838 1.178 4.128 Ga
0.000 0.000 0.000 Li
```

***

(6)
# SrLi3Ga

A PBEsol-optimized structure of SrLi3Ga (SCAN, Alexandria).

The density of states at the Fermi level is 0.648 states/eV per atom. For the polymorph energy (0 for the lowest one), the calculation gives 5.57 eV per formula unit. The energy of formation from the pure elements comes out at 1.001 eV/atom. The total magnetization is 0.0 μB per formula unit. The uncorrected energy comes out at -40.79 eV/f.u.

Cell and atoms, written as POSCAR:
```
SrLi3Ga
1.0
5.681 0.000 0.000
0.000 5.681 0.000
0.000 0.000 5.681
Li Sr Ga
3 1 1
Cartesian
0.000 0.000 2.841 Li
0.000 2.841 0.000 Li
2.841 0.000 0.000 Li
0.000 0.000 0.000 Sr
2.841 2.841 2.841 Ga
```

***

(7)
# LiTaGa2W

A PBEsol-optimized structure of LiTaGa2W (SCAN, Alexandria).

The density of states at the Fermi level is 0.421 states/eV per atom. The energy of formation from the pure elements comes out at 0.827 eV/atom. The total magnetization is 0.0 μB per formula unit. The uncorrected energy comes out at -167.22 eV/f.u.

Cell and atoms, written as POSCAR:
```
LiTaGa2W
1.0
4.110 0.000 0.000
0.000 4.110 0.000
0.000 0.000 4.394
W Ga Li Ta
1 2 1 1
Cartesian
0.000 0.000 2.197 W
0.000 2.055 0.000 Ga
2.055 0.000 0.000 Ga
0.000 0.000 0.000 Li
2.055 2.055 2.197 Ta
```

***

(8)
# LiGaTe3

A PBEsol-optimized structure of LiGaTe3 (SCAN, Alexandria).

The density of states at the Fermi level is 0.859 states/eV per atom. For the polymorph energy (0 for the lowest one), the calculation gives 0.00 eV per formula unit. The total magnetization is 0.0 μB per formula unit. The uncorrected energy comes out at -130.00 eV/f.u.

Cell and atoms, written as POSCAR:
```
LiGaTe3
1.0
-0.158 -5.362 -0.407
3.084 -0.424 4.387
-4.405 -0.105 3.087
Te Li Ga
3 1 1
Cartesian
1.542 -0.212 2.194 Te
-0.079 -2.681 -0.203 Te
-2.202 -0.052 1.543 Te
-0.739 -2.945 3.534 Li
0.000 0.000 0.000 Ga
```

***

(9)
# LiGaTe2

A PBEsol-optimized structure of LiGaTe2 (SCAN, Alexandria).

The density of states at the Fermi level is 0.000 states/eV per atom. The total magnetization is 0.0 μB per formula unit. The uncorrected energy comes out at -95.95 eV/f.u.

Cell and atoms, written as POSCAR:
```
LiGaTe2
1.0
-2.666 -5.721 0.175
1.629 -0.573 6.073
-4.594 5.578 -1.523
Li Ga Te
2 2 4
Cartesian
-3.889 -1.645 0.888 Li
-0.518 -3.147 3.124 Li
-1.741 0.929 3.837 Ga
0.000 0.000 0.000 Ga
-0.686 -1.174 4.996 Te
-4.070 0.242 2.846 Te
-2.906 -3.905 2.052 Te
-3.597 3.404 -0.445 Te
```

***

(10)
# Li2GaTe

A PBEsol-optimized structure of Li2GaTe (SCAN, Alexandria).

The density of states at the Fermi level is 0.349 states/eV per atom. For the polymorph energy (0 for the lowest one), the calculation gives 0.32 eV per formula unit. The total magnetization is 0.0 μB per formula unit. The uncorrected energy comes out at -59.78 eV/f.u.

Cell and atoms, written as POSCAR:
```
Li2GaTe
1.0
-0.885 -3.794 2.218
0.058 -2.272 -3.864
9.110 1.580 1.808
Li Ga Te
4 2 2
Cartesian
1.520 -3.797 0.955 Li
2.001 -2.996 -2.109 Li
6.316 -2.618 0.307 Li
6.729 0.439 1.170 Li
-0.413 -3.033 -0.823 Ga
3.906 -2.624 1.601 Ga
0.000 0.000 0.000 Te
4.377 -1.862 -1.440 Te
```

***

(11)
# Li2GaTe2

A PBEsol-optimized structure of Li2GaTe2 (SCAN, Alexandria).

The density of states at the Fermi level is 0.248 states/eV per atom. The total magnetization is 0.0 μB per formula unit. The uncorrected energy comes out at -98.31 eV/f.u.

Cell and atoms, written as POSCAR:
```
Li2GaTe2
1.0
-2.542 0.002 1.948
4.656 -3.341 6.080
2.037 7.657 2.648
Te Li Ga
4 4 2
Cartesian
3.481 -0.927 4.543 Te
1.469 1.934 1.915 Te
3.212 5.244 4.185 Te
5.223 2.382 6.813 Te
0.723 -0.268 3.577 Li
0.600 4.380 3.410 Li
3.427 4.587 7.099 Li
3.551 -0.061 7.266 Li
0.000 0.000 0.000 Ga
3.346 2.158 4.364 Ga
```

***

(12)
# Li2GaTe

A PBEsol-optimized structure of Li2GaTe (SCAN, Alexandria).

The density of states at the Fermi level is 0.378 states/eV per atom. For the polymorph energy (0 for the lowest one), the calculation gives 0.00 eV per formula unit. The total magnetization is 0.0 μB per formula unit. The uncorrected energy comes out at -60.10 eV/f.u.

Cell and atoms, written as POSCAR:
```
Li2GaTe
1.0
4.812 0.000 0.000
2.406 4.168 0.000
2.406 1.389 3.929
Li Te Ga
2 1 1
Cartesian
2.406 1.389 0.982 Li
7.219 4.168 2.947 Li
4.812 2.778 1.965 Te
0.000 0.000 0.000 Ga
```

***

(13)
# Li2TiGa

A PBEsol-optimized structure of Li2TiGa (SCAN, Alexandria).

The density of states at the Fermi level is 0.632 states/eV per atom. The energy of formation from the pure elements comes out at 0.199 eV/atom. The total magnetization is 1.5 μB per formula unit. The uncorrected energy comes out at -36.36 eV/f.u.

Cell and atoms, written as POSCAR:
```
Li2TiGa
1.0
-5.151 0.961 0.528
-2.165 -0.042 5.216
-1.620 5.365 0.700
Ga Li Ti
2 4 2
Cartesian
0.000 0.000 0.000 Ga
-5.756 3.382 3.354 Ga
-5.577 0.947 2.964 Li
-1.422 2.905 0.543 Li
-6.226 3.139 5.770 Li
-4.647 5.577 3.612 Li
-3.180 2.902 3.090 Ti
-2.576 0.480 0.264 Ti
```